Here is MnHPd5 after structural relaxation from Alexandria via LeMat-Bulk. Energies are from PBE.

```
MnHPd5
1.0
4.135 -4.396 0.000
4.135 4.396 0.000
-4.132 0.000 5.807
Mn H Pd
2 2 10
Direct
0.099 0.901 0.750
0.901 0.099 0.250
0.000 0.500 0.000
0.500 0.000 0.500
0.088 0.339 0.768
0.241 0.512 0.520
0.339 0.088 0.268
0.366 0.634 0.250
0.488 0.759 0.980
0.512 0.241 0.020
0.634 0.366 0.750
0.661 0.912 0.732
0.759 0.488 0.480
0.912 0.661 0.232
```

Summary:
Energy above the lowest structure with this stoichiometry in meV per atom: 64.9
Symmetry: C2/c (15)

***

Here is Sm4CdPt after structural relaxation from Alexandria via LeMat-Bulk. Energies are from PBE.

```
Sm4CdPt
1.0
7.397 0.000 0.000
0.000 7.339 0.000
-0.502 0.000 7.158
Sm Cd Pt
8 2 2
Direct
0.147 0.163 0.180
0.147 0.337 0.680
0.330 0.645 0.119
0.330 0.855 0.619
0.670 0.145 0.381
0.670 0.355 0.881
0.853 0.663 0.320
0.853 0.837 0.820
0.500 0.000 0.000
0.500 0.500 0.500
0.000 0.000 0.500
0.000 0.500 0.000
```

Summary:
Energy above the lowest structure with this stoichiometry in meV per atom: 237.2
Symmetry: P2_1/c (14)
ΔE_f in eV per atom: -0.33

***

Here is BAsBr2O after structural relaxation from Alexandria via LeMat-Bulk. Energies are from PBE.

```
BAsBr2O
1.0
5.837 0.000 0.000
0.000 5.837 0.000
0.000 0.000 3.672
B As Br O
1 1 2 1
Direct
0.000 0.000 0.000
0.500 0.500 0.000
0.000 0.500 0.500
0.500 0.000 0.500
0.500 0.500 0.500
```

Summary:
Energy above the lowest structure with this stoichiometry in meV per atom: 0.0
Symmetry: P4/mmm (123)
Formation energy (no corrections) in eV/atom: 1.08

***

Here is LaHoTm2Au4 after structural relaxation from Alexandria via LeMat-Bulk. Energies are from PBE.

```
LaHoTm2Au4
1.0
2.531 1.461 8.622
-2.531 1.461 8.622
0.000 -2.922 8.622
La Ho Tm Au
1 1 2 4
Direct
0.000 0.000 0.000
0.500 0.500 0.500
0.247 0.247 0.247
0.753 0.753 0.753
0.128 0.128 0.128
0.385 0.385 0.385
0.615 0.615 0.615
0.872 0.872 0.872
```

Summary:
Symmetry: R-3m (166)
ΔE_f in eV per atom: -0.84

***

Here is Sm3Si6Pd2Pt after structural relaxation from Alexandria via LeMat-Bulk. Energies are from PBE.

```
Sm3Si6Pd2Pt
1.0
5.691 0.000 0.000
-2.845 4.928 0.000
0.000 0.000 8.248
Sm Si Pd Pt
3 6 2 1
Direct
0.000 0.000 0.000
0.333 0.667 0.611
0.667 0.333 0.389
0.188 0.377 0.285
0.188 0.812 0.285
0.377 0.188 0.715
0.623 0.812 0.285
0.812 0.188 0.715
0.812 0.623 0.715
0.333 0.667 0.035
0.667 0.333 0.965
0.000 0.000 0.500
```

Summary:
Symmetry: P-3m1 (164)
Formation energy (no corrections) in eV/atom: -0.52

***

Here is PuCu2Au5 after structural relaxation from Alexandria via LeMat-Bulk. Energies are from PBE.

```
PuCu2Au5
1.0
-1.999 3.904 4.858
1.999 -3.904 4.858
1.999 3.904 -4.858
Pu Cu Au
1 2 5
Direct
0.000 0.000 0.000
0.231 0.731 0.500
0.769 0.269 0.500
0.158 0.349 0.809
0.459 0.651 0.809
0.500 0.000 0.500
0.541 0.349 0.191
0.842 0.651 0.191
```

Summary:
Symmetry: Immm (71)
ΔE_f in eV per atom: -0.10

***

no.,energy (Ry per atom)
1,-0.397
2,-0.341
3,-0.209
4,-0.352
5,-0.425
6,-0.365